1.
A plane-wave DFT calculation with PBE was carried out for a geometry-optimized VCd2SnC structure.

Properties
As for the density of states at the Fermi level: 2.709 states/eV/f.u. Its density is 7.3 Mg/m³. Its crystal system is tetragonal. As for the total magnetization: 0.354 μB per atom. The raw total energy comes out at -4.278 eV/atom. The formation energy is 53.7 kJ per mole of atoms.

a = 4.7770 Å, b = 4.0782 Å, c = 4.7770 Å
α = 90.00°, β = 90.00°, γ = 90.00°
With the nearest neighbours (Å) after each atom.
Fractional positions:
1 C 0.0000 0.0000 0.0000  2 V 2.04
2 V 0.0000 0.5000 0.0000  2 C 2.04
3 Sn 0.5000 0.5000 0.5000  8 Cd 3.14, 4 V 3.38
4 Cd 0.0000 0.0000 0.5000  2 C 2.39
5 Cd 0.5000 0.0000 0.0000  2 C 2.39

---

2.
A plane-wave DFT calculation with PBE was carried out for a geometry-optimized MgAl3Co structure.

Properties
As for the density of states at the Fermi level: 2.651 states/eV/f.u. Its density is 3.3 Mg/m³. Its crystal system is orthorhombic. As for the total magnetization: 0.000 μB per atom. The raw total energy comes out at -4.228 eV/atom. The formation energy is -23.4 kJ per mole of atoms. The calculation puts the energy above the most stable polymorph in this dataset at 0.00 eV/f.u.

a = 3.8979 Å, b = 8.2516 Å, c = 10.2216 Å
α = 90.00°, β = 90.00°, γ = 90.00°
With the nearest neighbours (Å) after each atom.
Fractional positions:
1 Mg 0.7500 0.8233 0.9912  2 Co 2.79, 6 Al 3.00-3.08
2 Mg 0.2500 0.6767 0.4912  2 Co 2.79, 6 Al 3.00-3.08
3 Mg 0.7500 0.3233 0.5088  2 Co 2.79, 6 Al 3.00-3.08
4 Mg 0.2500 0.1767 0.0088  2 Co 2.79, 6 Al 3.00-3.08
5 Al 0.2500 0.5383 0.0825  3 Co 2.44-2.54, 3 Al 2.65-2.68
6 Al 0.7500 0.4617 0.9175  3 Co 2.44-2.54, 3 Al 2.65-2.68
7 Al 0.2500 0.0383 0.4175  3 Co 2.44-2.54, 3 Al 2.65-2.68
8 Al 0.7500 0.9617 0.5825  3 Co 2.44-2.54, 3 Al 2.65-2.68
9 Al 0.2500 0.4183 0.7188  2 Co 2.36-2.39
10 Al 0.7500 0.0817 0.2188  2 Co 2.36-2.39
11 Al 0.2500 0.9183 0.7812  2 Co 2.36-2.39
12 Al 0.7500 0.6782 0.7224  2 Co 2.42, 1 Al 2.68
13 Al 0.2500 0.3218 0.2776  2 Co 2.42, 1 Al 2.68
14 Al 0.7500 0.1782 0.7776  2 Co 2.42, 1 Al 2.68
15 Al 0.7500 0.5817 0.2812  2 Co 2.36-2.39
16 Al 0.2500 0.8218 0.2224  2 Co 2.42, 1 Al 2.68
17 Co 0.2500 0.1450 0.6401  7 Al 2.36-2.54
18 Co 0.2500 0.6450 0.8599  7 Al 2.36-2.54
19 Co 0.7500 0.3550 0.1401  7 Al 2.36-2.54
20 Co 0.7500 0.8550 0.3599  7 Al 2.36-2.54

---

3.
A plane-wave DFT calculation with PBE was carried out for a geometry-optimized Pr2Y3Te6 structure.

Properties
As for the density of states at the Fermi level: 5.392 states/eV/f.u. Its density is 6.0 Mg/m³. Its crystal system is monoclinic. As for the total magnetization: 0.000 μB per atom. The raw total energy comes out at -5.793 eV/atom. Its uncorrected formation energy is -1.447 eV per atom.

a = 7.6484 Å, b = 7.6211 Å, c = 7.6653 Å
α = 80.35°, β = 70.48°, γ = 59.88°
With the nearest neighbours (Å) after each atom.
Fractional positions:
1 Pr 0.1640 0.6720 0.5000  6 Te 3.16-3.19
2 Pr 0.8360 0.3280 0.5000  6 Te 3.16-3.19
3 Y 0.0000 0.0000 0.0000  6 Te 3.07-3.18
4 Y 0.3292 0.3417 0.0000  6 Te 3.07-3.14
5 Y 0.6708 0.6583 0.0000  6 Te 3.07-3.14
6 Te 0.4164 0.6789 0.7537  3 Y 3.07-3.14, 2 Pr 3.19
7 Te 0.7351 0.0000 0.7569  3 Y 3.09-3.18, 2 Pr 3.16
8 Te 0.0953 0.3211 0.7537  3 Y 3.07-3.14, 2 Pr 3.19
9 Te 0.2649 0.0000 0.2431  3 Y 3.09-3.18, 2 Pr 3.16
10 Te 0.5836 0.3211 0.2463  3 Y 3.07-3.14, 2 Pr 3.19
11 Te 0.9047 0.6789 0.2463  3 Y 3.07-3.14, 2 Pr 3.19

---

4.
A plane-wave DFT calculation with PBE was carried out for a geometry-optimized Ac2Pr3NdSe6 structure.

Properties
As for the density of states at the Fermi level: 6.173 states/eV/f.u. Its density is 7.2 Mg/m³. Its crystal system is monoclinic. As for the total magnetization: 0.000 μB per atom. The raw total energy comes out at -5.866 eV/atom. Its uncorrected formation energy is -1.847 eV per atom.

a = 7.5049 Å, b = 7.5049 Å, c = 7.4976 Å
α = 99.61°, β = 99.61°, γ = 120.20°
With the nearest neighbours (Å) after each atom.
Fractional positions:
1 Ac 0.3343 0.6657 0.0000  6 Se 3.11
2 Ac 0.6657 0.3343 0.0000  6 Se 3.11
3 Pr 0.1693 0.8307 0.5000  6 Se 3.02-3.06
4 Pr 0.8307 0.1693 0.5000  6 Se 3.02-3.06
5 Pr 0.5000 0.5000 0.5000  6 Se 3.02-3.07
6 Nd 0.0000 0.0000 0.0000  6 Se 3.04-3.05
7 Se 0.9154 0.5890 0.7447  3 Pr 3.02-3.06, 1 Nd 3.04, 2 Ac 3.11
8 Se 0.7610 0.7610 0.2592  3 Pr 3.02-3.07, 1 Nd 3.05, 2 Ac 3.11
9 Se 0.0846 0.4110 0.2553  3 Pr 3.02-3.06, 1 Nd 3.04, 2 Ac 3.11
10 Se 0.5890 0.9154 0.7447  3 Pr 3.02-3.06, 1 Nd 3.04, 2 Ac 3.11
11 Se 0.2390 0.2390 0.7408  3 Pr 3.02-3.07, 1 Nd 3.05, 2 Ac 3.11
12 Se 0.4110 0.0846 0.2553  3 Pr 3.02-3.06, 1 Nd 3.04, 2 Ac 3.11

---

5.
A plane-wave DFT calculation with PBE was carried out for a geometry-optimized TiVH structure.

Properties
As for the density of states at the Fermi level: 2.856 states/eV/f.u. Its density is 5.1 Mg/m³. Its crystal system is triclinic. As for the total magnetization: 0.000 μB per atom. The raw total energy comes out at -6.969 eV/atom. The calculation puts the energy above the most stable polymorph in this dataset at 0.00 eV/f.u.

a = 2.8795 Å, b = 4.0670 Å, c = 6.9478 Å
α = 54.16°, β = 80.41°, γ = 90.05°
With the nearest neighbours (Å) after each atom.
Fractional positions:
1 V 0.1033 0.1495 0.0998  1 H 1.87
2 V 0.8967 0.8505 0.9002  1 H 1.87
3 Ti 0.3465 0.3987 0.3509  4 H 1.95-2.07
4 Ti 0.6535 0.6013 0.6491  4 H 1.95-2.07
5 H 0.7411 0.1571 0.5933  1 V 1.87, 4 Ti 1.95-2.07
6 H 0.2589 0.8429 0.4067  1 V 1.87, 4 Ti 1.95-2.07

---

6.
A plane-wave DFT calculation with PBE was carried out for a geometry-optimized LiSb2 structure.

Properties
As for the density of states at the Fermi level: 0.914 states/eV/f.u. Its density is 5.9 Mg/m³. Its crystal system is tetragonal. As for the total magnetization: 0.000 μB per atom. The raw total energy comes out at -3.532 eV/atom. Its uncorrected formation energy is -0.146 eV per atom. The calculation puts the energy above the most stable polymorph in this dataset at 0.29 eV/f.u.

a = 6.6451 Å, b = 6.6451 Å, c = 6.6451 Å
α = 150.61°, β = 150.61°, γ = 42.04°
With the nearest neighbours (Å) after each atom.
Fractional positions:
1 Li 0.0000 0.0000 0.0000  8 Sb 2.90
2 Sb 0.6324 0.6324 0.0000  4 Li 2.90
3 Sb 0.3676 0.3676 0.0000  4 Li 2.90

---

7.
A plane-wave DFT calculation with PBE was carried out for a geometry-optimized CuTcB structure.

Properties
As for the density of states at the Fermi level: 1.347 states/eV/f.u. Its density is 8.3 Mg/m³. Its crystal system is monoclinic. As for the total magnetization: 0.000 μB per atom. The raw total energy comes out at -6.965 eV/atom. The formation energy is 7.9 kJ per mole of atoms. The calculation puts the energy above the most stable polymorph in this dataset at 0.53 eV/f.u.

a = 5.6776 Å, b = 2.9246 Å, c = 9.8898 Å
α = 90.00°, β = 122.89°, γ = 90.00°
With the nearest neighbours (Å) after each atom.
Fractional positions:
1 B 0.4048 0.0000 0.0123  1 B 1.79
2 B 0.4048 0.5000 0.5123  1 B 1.79
3 B 0.2788 0.0000 0.1431  1 B 1.79
4 B 0.2788 0.5000 0.6431  1 B 1.79
5 Tc 0.0604 0.0000 0.4400  4 B 2.23-2.24
6 Tc 0.0604 0.5000 0.9400  4 B 2.23-2.24
7 Tc 0.6235 0.0000 0.7128  4 B 2.22-2.23
8 Tc 0.6235 0.5000 0.2128  4 B 2.22-2.23
9 Cu 0.1940 0.0000 0.7615  3 B 2.09
10 Cu 0.1940 0.5000 0.2615  3 B 2.09
11 Cu 0.7913 0.0000 0.0432  1 B 2.04
12 Cu 0.7913 0.5000 0.5432  1 B 2.04

---

8.
A plane-wave DFT calculation with PBE was carried out for a geometry-optimized Ho5Ga2Sn structure.

Properties
As for the density of states at the Fermi level: 6.513 states/eV/f.u. Its density is 8.6 Mg/m³. Its crystal system is tetragonal. As for the total magnetization: 0.000 μB per atom. The raw total energy comes out at -4.698 eV/atom. The formation energy is -56.0 kJ per mole of atoms.

a = 7.8375 Å, b = 7.8375 Å, c = 8.7885 Å
α = 116.48°, β = 116.48°, γ = 90.00°
With the nearest neighbours (Å) after each atom.
Fractional positions:
1 Ho 0.5172 0.6941 0.7113  3 Ga 3.03, 2 Sn 3.27
2 Ho 0.8059 0.9828 0.2887  3 Ga 3.03, 2 Sn 3.27
3 Ho 0.0000 0.0000 0.0000  4 Ga 3.07, 2 Sn 3.41
4 Ho 0.5000 0.5000 0.0000  4 Ga 3.07, 2 Sn 3.41
5 Ho 0.1941 0.0172 0.7113  3 Ga 3.03, 2 Sn 3.27
6 Ho 0.6941 0.1941 0.7113  3 Ga 3.03, 2 Sn 3.27
7 Ho 0.0172 0.5172 0.7113  3 Ga 3.03, 2 Sn 3.27
8 Ho 0.3059 0.8059 0.2887  3 Ga 3.03, 2 Sn 3.27
9 Ho 0.9828 0.4828 0.2887  3 Ga 3.03, 2 Sn 3.27
10 Ho 0.4828 0.3059 0.2887  3 Ga 3.03, 2 Sn 3.27
11 Ga 0.1312 0.3688 0.0000  1 Ga 2.91, 8 Ho 3.03-3.07
12 Ga 0.6312 0.1312 0.0000  1 Ga 2.91, 8 Ho 3.03-3.07
13 Ga 0.3688 0.8688 0.0000  1 Ga 2.91, 8 Ho 3.03-3.07
14 Ga 0.8688 0.6312 0.0000  1 Ga 2.91, 8 Ho 3.03-3.07
15 Sn 0.7500 0.7500 0.5000  10 Ho 3.27-3.41
16 Sn 0.2500 0.2500 0.5000  10 Ho 3.27-3.41

---

9.
A plane-wave DFT calculation with PBE was carried out for a geometry-optimized Ce2PuCd structure.

Properties
As for the density of states at the Fermi level: 7.848 states/eV/f.u. Its density is 10.9 Mg/m³. Its crystal system is trigonal. As for the total magnetization: 0.491 μB per atom. The raw total energy comes out at -6.559 eV/atom. The formation energy is 21.2 kJ per mole of atoms. The calculation puts the energy above the most stable polymorph in this dataset at 1.04 eV/f.u.

a = 3.6786 Å, b = 3.6786 Å, c = 8.5709 Å
α = 77.61°, β = 77.61°, γ = 60.00°
With the nearest neighbours (Å) after each atom.
Fractional positions:
1 Ce 0.0638 0.0638 0.8085  3 Pu 2.70
2 Ce 0.2727 0.2727 0.1820  3 Pu 2.56
3 Pu 0.6637 0.6637 0.0090  6 Ce 2.56-2.70
4 Cd 0.4998 0.4998 0.5005  6 Ce 3.32-3.39, 6 Cd 3.68

---

10.
A plane-wave DFT calculation with PBE was carried out for a geometry-optimized HfSe2NO structure.

Properties
As for the density of states at the Fermi level: 5.649 states/eV/f.u. Its density is 5.3 Mg/m³. Its crystal system is tetragonal. As for the total magnetization: 0.846 μB per atom. The raw total energy comes out at -5.525 eV/atom. Its uncorrected formation energy is 0.516 eV per atom. The calculation puts the energy above the most stable polymorph in this dataset at 0.00 eV/f.u.

a = 5.2448 Å, b = 5.2448 Å, c = 4.1380 Å
α = 90.00°, β = 90.00°, γ = 90.00°
With the nearest neighbours (Å) after each atom.
Fractional positions:
1 Hf 0.0000 0.0000 0.0000  2 N 2.07
2 O 0.5000 0.5000 0.5000  8 Se 3.34, 4 N 3.71
3 Se 0.0000 0.5000 0.0000  2 Hf 2.62
4 Se 0.5000 0.0000 0.0000  2 Hf 2.62
5 N 0.0000 0.0000 0.5000  2 Hf 2.07

---

11.
A plane-wave DFT calculation with PBE was carried out for a geometry-optimized Ni3SbPt structure.

Properties
As for the density of states at the Fermi level: 6.618 states/eV/f.u. Its density is 11.2 Mg/m³. Its crystal system is monoclinic. As for the total magnetization: 0.000 μB per atom. The raw total energy comes out at -5.479 eV/atom. Its uncorrected formation energy is 0.022 eV per atom. The calculation puts the energy above the most stable polymorph in this dataset at 0.51 eV/f.u.

a = 7.6179 Å, b = 5.4867 Å, c = 5.4867 Å
α = 127.05°, β = 105.60°, γ = 105.60°
With the nearest neighbours (Å) after each atom.
Fractional positions:
1 Ni 0.3886 0.8034 0.0138  4 Ni 2.47-2.75, 2 Pt 2.59-2.68, 2 Sb 2.60-2.63
2 Ni 0.2500 0.6793 0.3207  2 Sb 2.45, 4 Ni 2.52-2.62, 2 Pt 2.59
3 Ni 0.6114 0.1966 0.9862  4 Ni 2.47-2.75, 2 Pt 2.59-2.68, 2 Sb 2.60-2.63
4 Ni 0.7500 0.3207 0.6793  2 Sb 2.45, 4 Ni 2.52-2.62, 2 Pt 2.59
5 Ni 0.1114 0.9862 0.1966  4 Ni 2.47-2.75, 2 Pt 2.59-2.68, 2 Sb 2.60-2.63
6 Ni 0.8886 0.0138 0.8034  4 Ni 2.47-2.75, 2 Pt 2.59-2.68, 2 Sb 2.60-2.63
7 Sb 0.2500 0.1860 0.8140  6 Ni 2.45-2.63, 2 Pt 2.71
8 Sb 0.7500 0.8140 0.1860  6 Ni 2.45-2.63, 2 Pt 2.71
9 Pt 0.5000 0.5000 0.5000  8 Ni 2.59-2.80, 2 Sb 2.71
10 Pt 0.0000 0.5000 0.5000  8 Ni 2.59-2.80, 2 Sb 2.71

---

12.
A plane-wave DFT calculation with PBE was carried out for a geometry-optimized HoSc2Rh4 structure.

Properties
As for the density of states at the Fermi level: 4.703 states/eV/f.u. Its density is 8.5 Mg/m³. Its crystal system is tetragonal. As for the total magnetization: 0.000 μB per atom. The raw total energy comes out at -7.199 eV/atom. The formation energy is -51.6 kJ per mole of atoms.

a = 5.5358 Å, b = 5.5358 Å, c = 5.5358 Å
α = 111.50°, β = 108.47°, γ = 108.47°
With the nearest neighbours (Å) after each atom.
Fractional positions:
1 Ho 0.0000 0.0000 0.0000  8 Rh 2.77
2 Sc 0.5000 0.5000 0.0000  8 Rh 2.77
3 Sc 0.5000 0.0000 0.5000  8 Rh 2.77
4 Rh 0.5000 0.0000 0.0000  4 Sc 2.77, 2 Ho 2.77
5 Rh 0.5000 0.5000 0.5000  2 Ho 2.77, 4 Sc 2.77
6 Rh 0.0000 0.0000 0.5000  4 Sc 2.77, 2 Ho 2.77
7 Rh 0.0000 0.5000 0.0000  4 Sc 2.77, 2 Ho 2.77

---

> What is the formula in the third record?

Pr2Y3Te6